Entry 1:
LaTbYSe3 | the Alexandria database | PBE-GGA | relaxed; formation energy (no corrections) = -1692 meV/atom; SG = P2_1/m (11)
1.0
7.986 0.000 0.000
0.000 4.132 0.000
-2.437 0.000 10.075
La Tb Y Se
2 2 2 6
Direct
0.190 0.250 0.215
0.810 0.750 0.785
0.331 0.750 0.910
0.669 0.250 0.090
0.170 0.250 0.621
0.830 0.750 0.379
0.085 0.250 0.886
0.209 0.750 0.444
0.481 0.750 0.194
0.519 0.250 0.806
0.791 0.250 0.556
0.915 0.750 0.114



Entry 2:
Sm2Er4Sc | the Alexandria database | PBE-GGA | relaxed; polymorph energy (0 for the lowest one) = 78 kJ/mol of formula units; SG = P2_1/m (11); E_form = 144 meV per atom
1.0
5.884 0.000 0.000
0.000 6.590 0.000
-2.885 0.000 11.124
Sm Er Sc
4 8 2
Direct
0.087 0.250 0.485
0.337 0.750 0.062
0.663 0.250 0.938
0.913 0.750 0.515
0.155 0.003 0.789
0.155 0.497 0.789
0.229 0.250 0.075
0.363 0.750 0.353
0.637 0.250 0.647
0.771 0.750 0.925
0.845 0.503 0.211
0.845 0.997 0.211
0.493 0.750 0.652
0.507 0.250 0.348



> Which formula does entry 2 have?

Sm2Er4Sc